Record 1
DFT (PBE) results for a relaxed ZrCNF2 crystal.

Unit cell a=4.149 b=4.149 c=4.283 alpha=90.00 beta=90.00 gamma=90.00
Space group P4/mmm (No. 123)
Symmetry-distinct sites (fractional):
Zr 0.000 0.000 0.000 x1
C 0.500 0.500 0.500 x1
N 0.000 0.000 0.500 x1
F 0.000 0.500 0.000 x2

The uncorrected formation energy comes out at -0.343 eV/atom. Its total magnetization is 0.20 μB/atom. For the distance to the lowest polymorph of the same formula, the calculation gives 0.146 eV/atom. As for the density of states at the Fermi level: 0.19 states/eV per atom.

---

Record 2
DFT (PBE) results for a relaxed PaBeNi crystal.

Unit cell a=2.937 b=2.937 c=10.230 alpha=90.00 beta=90.00 gamma=90.00
Space group I4mm (No. 107)
Symmetry-distinct sites (fractional):
Pa 0.000 0.000 0.000 x2
Be 0.000 0.000 0.295 x2
Ni 0.000 0.000 0.697 x2

Its total magnetization is 0.00 μB/atom. The calculation puts the calculated formation energy at -38 kJ/mol of formula units. For the distance to the lowest polymorph of the same formula, the calculation gives 0.089 eV/atom. As for the density of states at the Fermi level: 1.03 states/eV per atom.

---

Record 3
DFT (PBE) results for a relaxed NbSI2O6 crystal.

Unit cell a=4.870 b=5.067 c=7.047 alpha=81.69 beta=86.85 gamma=87.74
Space group P-1 (No. 2)
Symmetry-distinct sites (fractional):
Nb 0.000 0.000 0.000 x1
S 0.500 0.500 0.000 x1
I 0.302 0.672 0.598 x2
O 0.129 0.987 0.737 x2
O 0.244 0.672 0.082 x2
O 0.319 0.244 0.031 x2

The uncorrected formation energy comes out at -0.842 eV/atom. Its total magnetization is 0.00 μB/atom. As for the density of states at the Fermi level: 0.25 states/eV per atom.

---

Record 4
DFT (PBE) results for a relaxed Th4Bi5 crystal.

Unit cell a=11.272 b=11.272 c=4.691 alpha=90.00 beta=90.00 gamma=90.00
Space group I4/mmm (No. 139)
Symmetry-distinct sites (fractional):
Th 0.168 0.168 0.000 x8
Bi 0.000 0.000 0.500 x2
Bi 0.000 0.301 0.500 x8

Its total magnetization is 0.03 μB/atom. The calculation puts the calculated formation energy at -217 kJ/mol of formula units. As for the density of states at the Fermi level: 1.20 states/eV per atom.

---

Record 5
DFT (PBE) results for a relaxed SrZn6Rh2 crystal.

Unit cell a=4.253 b=6.725 c=11.517 alpha=90.00 beta=90.00 gamma=90.00
Space group Immm (No. 71)
Symmetry-distinct sites (fractional):
Sr 0.000 0.000 0.000 x2
Zn 0.000 0.175 0.500 x4
Zn 0.000 0.200 0.289 x8
Rh 0.000 0.500 0.127 x4

Its total magnetization is 0.00 μB/atom. The calculation puts the calculated formation energy at -152 kJ/mol of formula units. As for the density of states at the Fermi level: 0.62 states/eV per atom.

---

Record 6
DFT (PBE) results for a relaxed Li9LaAg2 crystal.

Unit cell a=11.321 b=11.321 c=7.465 alpha=90.00 beta=90.00 gamma=90.00
Space group I4_1/amd (No. 141, origin choice 2)
Symmetry-distinct sites (fractional):
Li 0.000 0.250 0.375 x4
Li 0.121 0.047 0.189 x32
La 0.000 0.250 0.875 x4
Ag 0.000 0.000 0.500 x8

Its total magnetization is 0.00 μB/atom. The calculation puts the calculated formation energy at -66 kJ/mol of formula units. As for the density of states at the Fermi level: 0.54 states/eV per atom.

---

Record 7
DFT (PBE) results for a relaxed Li3Ni2H3 crystal.

Unit cell a=13.364 b=4.157 c=2.490 alpha=90.00 beta=100.71 gamma=90.00
Space group C2/m (No. 12)
Symmetry-distinct sites (fractional):
Li 0.000 0.000 0.000 x2
Li 0.112 0.500 0.112 x4
Ni 0.211 0.000 0.212 x4
H 0.000 0.500 0.500 x2
H 0.129 0.000 0.630 x4

Its total energy is -57.3 eV per cell. Its total magnetization is 0.00 μB/atom. As for the density of states at the Fermi level: 0.20 states/eV per atom.

---

Record 8
DFT (PBE) results for a relaxed NaRePb2S crystal.

Unit cell a=5.735 b=5.735 c=4.360 alpha=90.00 beta=90.00 gamma=90.00
Space group P4/mmm (No. 123)
Symmetry-distinct sites (fractional):
Na 0.000 0.000 0.000 x1
Re 0.500 0.500 0.000 x1
Pb 0.000 0.500 0.500 x2
S 0.500 0.500 0.500 x1

The uncorrected formation energy comes out at 0.543 eV/atom. Its total magnetization is 0.23 μB/atom. As for the density of states at the Fermi level: 0.63 states/eV per atom.

---

Record 9
DFT (PBE) results for a relaxed CaCuRu2 crystal.

Unit cell a=3.087 b=3.087 c=7.121 alpha=90.00 beta=90.00 gamma=90.00
Space group P4mm (No. 99)
Symmetry-distinct sites (fractional):
Ca 0.000 0.000 0.000 x1
Cu 0.500 0.500 0.296 x1
Ru 0.000 0.000 0.498 x1
Ru 0.500 0.500 0.692 x1

Its total magnetization is 0.00 μB/atom. The calculation puts the calculated formation energy at 90 kJ/mol of formula units. For the distance to the lowest polymorph of the same formula, the calculation gives 0.000 eV/atom. As for the density of states at the Fermi level: 0.93 states/eV per atom.

---

Record 10
DFT (PBE) results for a relaxed HfAgC3 crystal.

Unit cell a=4.326 b=4.326 c=4.326 alpha=90.00 beta=90.00 gamma=90.00
Space group Pm-3m (No. 221)
Symmetry-distinct sites (fractional):
Hf 0.000 0.000 0.000 x1
Ag 0.500 0.500 0.500 x1
C 0.000 0.000 0.500 x3

Its total magnetization is 0.00 μB/atom. The calculation puts the calculated formation energy at 1028 kJ/mol of formula units. For the distance to the lowest polymorph of the same formula, the calculation gives 0.000 eV/atom. As for the density of states at the Fermi level: 0.80 states/eV per atom.

---

Record 11
DFT (PBE) results for a relaxed Nd4CBr crystal.

Unit cell a=8.137 b=15.344 c=6.695 alpha=90.00 beta=122.59 gamma=90.00
Space group C2/c (No. 15)
Symmetry-distinct sites (fractional):
Nd 0.201 0.063 0.202 x8
Nd 0.201 0.185 0.731 x8
C 0.000 0.063 0.750 x4
Br 0.000 0.434 0.250 x4

The uncorrected formation energy comes out at -0.435 eV/atom. Its total magnetization is 0.00 μB/atom. As for the density of states at the Fermi level: 0.98 states/eV per atom.

---

Record 12
DFT (PBE) results for a relaxed MgRe3Si crystal.

Unit cell a=4.452 b=4.452 c=4.452 alpha=90.00 beta=90.00 gamma=90.00
Space group Pm-3m (No. 221)
Symmetry-distinct sites (fractional):
Mg 0.000 0.000 0.000 x1
Re 0.000 0.500 0.500 x3
Si 0.500 0.500 0.500 x1

The uncorrected formation energy comes out at 1.075 eV/atom. Its total magnetization is 0.00 μB/atom. For the distance to the lowest polymorph of the same formula, the calculation gives 0.000 eV/atom. As for the density of states at the Fermi level: 1.09 states/eV per atom.

---

Record 13
DFT (PBE) results for a relaxed Ba3CrSb crystal.

Unit cell a=6.661 b=6.661 c=6.661 alpha=90.00 beta=90.00 gamma=90.00
Space group Pm-3m (No. 221)
Symmetry-distinct sites (fractional):
Ba 0.000 0.000 0.500 x3
Cr 0.500 0.500 0.500 x1
Sb 0.000 0.000 0.000 x1

The uncorrected formation energy comes out at 0.145 eV/atom. Its total magnetization is 1.21 μB/atom. For the distance to the lowest polymorph of the same formula, the calculation gives 0.000 eV/atom. As for the density of states at the Fermi level: 0.98 states/eV per atom.

---

Record 14
DFT (PBE) results for a relaxed Ce2Ga3Rh crystal.

Unit cell a=7.178 b=8.974 c=15.505 alpha=90.00 beta=90.00 gamma=90.00
Space group Fmmm (No. 69)
Symmetry-distinct sites (fractional):
Ce 0.234 0.000 0.000 x8
Ce 0.250 0.250 0.250 x8
Ga 0.000 0.000 0.333 x8
Ga 0.000 0.249 0.416 x16
Rh 0.000 0.000 0.167 x8

Its total magnetization is 0.12 μB/atom. The calculation puts the calculated formation energy at -391 kJ/mol of formula units. As for the density of states at the Fermi level: 1.33 states/eV per atom.

---

Record 15
DFT (PBE) results for a relaxed NpTl2V2S6 crystal.

Unit cell a=6.279 b=10.972 c=7.844 alpha=90.00 beta=104.65 gamma=90.00
Space group C2/m (No. 12)
Symmetry-distinct sites (fractional):
Np 0.000 0.000 0.000 x2
Tl 0.000 0.161 0.500 x4
V 0.000 0.332 0.000 x4
S 0.196 0.500 0.182 x4
S 0.236 0.180 0.183 x8

The uncorrected formation energy comes out at -0.891 eV/atom. Its total magnetization is 0.64 μB/atom. As for the density of states at the Fermi level: 1.10 states/eV per atom.

---

Record 16
DFT (PBE) results for a relaxed TiSn3Ir crystal.

Unit cell a=5.117 b=5.117 c=5.117 alpha=90.00 beta=90.00 gamma=90.00
Space group Pm-3m (No. 221)
Symmetry-distinct sites (fractional):
Ti 0.000 0.000 0.000 x1
Sn 0.000 0.500 0.500 x3
Ir 0.500 0.500 0.500 x1

Its total magnetization is 0.00 μB/atom. The calculation puts the calculated formation energy at 303 kJ/mol of formula units. For the distance to the lowest polymorph of the same formula, the calculation gives 0.000 eV/atom. As for the density of states at the Fermi level: 3.11 states/eV per atom.

---

Record 17
DFT (PBE) results for a relaxed Pr6Hg2NO crystal.

Unit cell a=10.073 b=10.073 c=10.073 alpha=90.00 beta=90.00 gamma=90.00
Space group Fm-3m (No. 225)
Symmetry-distinct sites (fractional):
Pr 0.000 0.000 0.248 x24
Hg 0.250 0.250 0.250 x8
N 0.000 0.000 0.000 x4
O 0.000 0.000 0.500 x4

The uncorrected formation energy comes out at -1.038 eV/atom. Its total magnetization is 0.00 μB/atom. As for the density of states at the Fermi level: 0.79 states/eV per atom.

---

Record 18
DFT (PBE) results for a relaxed ErPuTlO6 crystal.

Unit cell a=5.7766 b=5.7766 c=9.7386 alpha=90.00 beta=90.00 gamma=120.00
Space group P-31c (No. 163)
Symmetry-distinct sites (fractional):
Er 0.3333 0.6667 0.2500 x2
Pu 0.3333 0.6667 0.7500 x2
Tl 0.0000 0.0000 0.0000 x2
O 0.0291 0.3780 0.6391 x12

The uncorrected formation energy comes out at -2.240 eV/atom. Its total magnetization is 0.15 μB/atom. As for the density of states at the Fermi level: 0.28 states/eV per atom.

---

Record 19
DFT (PBE) results for a relaxed LaTb4Pm3 crystal.

Unit cell a=3.469 b=11.738 c=13.243 alpha=90.00 beta=90.00 gamma=90.00
Space group Immm (No. 71)
Symmetry-distinct sites (fractional):
La 0.000 0.000 0.000 x2
Tb 0.000 0.251 0.135 x8
Pm 0.000 0.000 0.500 x2
Pm 0.000 0.500 0.258 x4

Its total magnetization is 0.00 μB/atom. The calculation puts the calculated formation energy at 99 kJ/mol of formula units. For the distance to the lowest polymorph of the same formula, the calculation gives 0.099 eV/atom. As for the density of states at the Fermi level: 1.62 states/eV per atom.

---

Record 20
DFT (PBE) results for a relaxed SnPdRhSe2 crystal.

Unit cell a=5.207 b=5.207 c=4.937 alpha=90.00 beta=90.00 gamma=90.00
Space group P4/mmm (No. 123)
Symmetry-distinct sites (fractional):
Sn 0.000 0.000 0.000 x1
Pd 0.500 0.500 0.500 x1
Rh 0.000 0.000 0.500 x1
Se 0.000 0.500 0.000 x2

The uncorrected formation energy comes out at 0.977 eV/atom. Its total magnetization is 0.20 μB/atom. For the distance to the lowest polymorph of the same formula, the calculation gives 0.712 eV/atom. As for the density of states at the Fermi level: 1.39 states/eV per atom.

---

Record 21
DFT (PBE) results for a relaxed Tm2UAl9 crystal.

Unit cell a=4.232 b=4.232 c=12.750 alpha=90.00 beta=90.00 gamma=90.00
Space group P4/mmm (No. 123)
Symmetry-distinct sites (fractional):
Tm 0.000 0.000 0.166 x2
U 0.000 0.000 0.500 x1
Al 0.000 0.500 0.000 x2
Al 0.000 0.500 0.334 x4
Al 0.500 0.500 0.166 x2
Al 0.500 0.500 0.500 x1

Its total magnetization is 0.19 μB/atom. The calculation puts the calculated formation energy at -372 kJ/mol of formula units. As for the density of states at the Fermi level: 0.76 states/eV per atom.

---

Record 22
DFT (PBE) results for a relaxed Co2HW crystal.

Unit cell a=2.6878 b=2.6878 c=19.2254 alpha=90.00 beta=90.00 gamma=120.00
Space group R-3m (No. 166, hexagonal axes)
Symmetry-distinct sites (fractional):
Co 0.0000 0.0000 0.2208 x6
H 0.0000 0.0000 0.5000 x3
W 0.0000 0.0000 0.0000 x3

Its total magnetization is 0.54 μB/atom. For the distance to the lowest polymorph of the same formula, the calculation gives 0.000 eV/atom. As for the density of states at the Fermi level: 0.85 states/eV per atom.

---

Record 23
DFT (PBE) results for a relaxed Na3Ag4Bi2 crystal.

Unit cell a=11.104 b=5.029 c=8.363 alpha=90.00 beta=101.66 gamma=90.00
Space group C2/m (No. 12)
Symmetry-distinct sites (fractional):
Na 0.000 0.000 0.000 x2
Na 0.054 0.500 0.332 x4
Ag 0.121 0.000 0.587 x4
Ag 0.233 0.500 0.075 x4
Bi 0.245 0.000 0.283 x4

Its total magnetization is 0.00 μB/atom. The calculation puts the calculated formation energy at -93 kJ/mol of formula units. As for the density of states at the Fermi level: 0.30 states/eV per atom.